1.
# Sn2BiSb2Au7

A geometry-optimized Sn2BiSb2Au7 structure (PBE-GGA, the Alexandria database).

Lattice parameters (Å, degrees): 4.2168 4.2168 16.8371 96.51 96.51 89.98
Element x y z (fractional)
Sn1 0.1208 0.1208 0.2495
Sn2 0.8792 0.8792 0.7505
Bi1 0.5000 0.5000 0.0000
Sb1 0.2891 0.2891 0.5757
Sb2 0.7109 0.7109 0.4243
Au1 0.0000 0.0000 0.0000
Au2 0.0682 0.5706 0.1413
Au3 0.2050 0.2050 0.4118
Au4 0.4294 0.9318 0.8587
Au5 0.5706 0.0682 0.1413
Au6 0.7950 0.7950 0.5882
Au7 0.9318 0.4294 0.8587

Summary:
For the formation energy without anion corrections, the calculation gives 0.00 eV/atom. The total energy is -0.1318 hartree per atom.

2.
# Sn2BiSbAu4

A geometry-optimized Sn2BiSbAu4 structure (PBE-GGA, the Alexandria database).

Lattice parameters (Å, degrees): 6.9085 5.8482 7.3187 62.11 48.44 69.45
Element x y z (fractional)
Sn1 0.0000 0.0000 0.5000
Sn2 0.5000 0.5000 0.0000
Bi1 0.2500 0.2500 0.7500
Sb1 0.7508 0.7508 0.2492
Au1 0.2509 0.7501 0.7491
Au2 0.5054 0.9945 0.0055
Au3 0.7501 0.2509 0.2499
Au4 0.9945 0.5054 0.4946

Summary:
For the formation energy without anion corrections, the calculation gives -0.08 eV/atom. The total energy is -0.1366 hartree per atom.

3.
# SnBi2SbAu4

A geometry-optimized SnBi2SbAu4 structure (PBE-GGA, the Alexandria database).

Lattice parameters (Å, degrees): 7.0870 5.8709 7.2473 64.40 48.34 67.26
Element x y z (fractional)
Sn1 0.0000 0.0000 0.0000
Bi1 0.2491 0.2491 0.2509
Bi2 0.7491 0.7491 0.7509
Sb1 0.4993 0.4993 0.5007
Au1 0.2477 0.7505 0.2495
Au2 0.4999 0.9993 0.5001
Au3 0.7505 0.2477 0.7523
Au4 0.9993 0.4999 0.0007

Summary:
For the formation energy without anion corrections, the calculation gives -0.05 eV/atom. The total energy is -0.1350 hartree per atom.

4.
# Sr3Bi2SbAu6

A geometry-optimized Sr3Bi2SbAu6 structure (PBE-GGA, the Alexandria database).

Lattice parameters (Å, degrees): 6.3147 6.3147 9.5126 90.00 90.00 120.00
Element x y z (fractional)
Sr1 0.0000 0.0000 0.0000
Sr2 0.3333 0.6667 0.6104
Sr3 0.6667 0.3333 0.3896
Bi1 0.3333 0.6667 0.0413
Bi2 0.6667 0.3333 0.9587
Sb1 0.0000 0.0000 0.5000
Au1 0.1747 0.3495 0.2860
Au2 0.1747 0.8253 0.2860
Au3 0.3495 0.1747 0.7140
Au4 0.6505 0.8253 0.2860
Au5 0.8253 0.1747 0.7140
Au6 0.8253 0.6505 0.7140

Summary:
For the formation energy without anion corrections, the calculation gives -0.48 eV/atom. The total energy is -0.1298 hartree per atom.

5.
# SrBi2SbAu

A geometry-optimized SrBi2SbAu structure (PBE-GGA, the Alexandria database).

Lattice parameters (Å, degrees): 5.5266 5.5266 5.8882 90.00 90.00 90.00
Element x y z (fractional)
Sr1 0.0000 0.0000 0.0000
Bi1 0.0000 0.5000 0.5000
Bi2 0.5000 0.0000 0.5000
Sb1 0.5000 0.5000 0.0000
Au1 0.0000 0.0000 0.5000

Summary:
For the formation energy without anion corrections, the calculation gives 0.00 eV/atom. The total energy is -0.1237 hartree per atom.

6.
# BiSbTe2Au

A geometry-optimized BiSbTe2Au structure (PBE-GGA, the Alexandria database).

Lattice parameters (Å, degrees): 5.4764 5.4764 5.3239 90.00 90.00 90.00
Element x y z (fractional)
Bi1 0.0000 0.0000 0.0000
Sb1 0.5000 0.5000 0.0000
Te1 0.0000 0.5000 0.5000
Te2 0.5000 0.0000 0.5000
Au1 0.5000 0.5000 0.5000

Summary:
For the formation energy without anion corrections, the calculation gives 0.42 eV/atom. The total energy is -0.1135 hartree per atom.